(1)
DFT (GGA-PBE) results for a relaxed NaRhN2O crystal.

Computed properties:
E: -27.5 eV/cell
raw formation energy: 0.5497 eV per atom

```
5
Lattice="3.768 0.000 0.000 0.000 3.768 0.000 0.000 0.000 4.404" Properties=species:S:1:pos:R:3 pbc="T T T"
Na 0.000 0.000 0.000
Rh 1.884 1.884 2.202
N 0.000 1.884 2.202
N 1.884 0.000 2.202
O 1.884 1.884 0.000
```

---

(2)
DFT (GGA-PBE) results for a relaxed Nd6ErMg2 crystal.

Computed properties:
ΔE_f: 61 meV per atom
relative energy among the computed polymorphs: 17 meV/atom
E: -35.8 eV/cell

```
9
Lattice="3.093 -5.300 0.000 3.093 5.300 0.000 0.000 0.000 8.810" Properties=species:S:1:pos:R:3 pbc="T T T"
Nd 1.587 0.896 5.852
Nd 3.093 3.455 0.000
Nd 1.587 -0.896 2.958
Nd 4.599 0.896 2.958
Nd 3.093 -3.455 0.000
Nd 4.599 -0.896 5.852
Er 3.093 0.000 0.000
Mg 1.547 2.650 2.903
Mg 1.547 -2.650 5.907
```

---

(3)
DFT (GGA-PBE) results for a relaxed Na2HgSbSe4 crystal.

Computed properties:
E: -50.0 eV/cell
raw formation energy: -0.4998 eV per atom

```
16
Lattice="5.732 -6.050 0.000 5.732 6.050 0.000 -5.428 0.000 5.988" Properties=species:S:1:pos:R:3 pbc="T T T"
Na 0.000 0.000 0.000
Na -2.714 0.000 2.994
Na 2.866 3.025 0.000
Na 0.152 -3.025 2.994
Hg 0.152 3.025 2.994
Hg 2.866 -3.025 0.000
Sb 5.732 0.000 0.000
Sb 3.018 0.000 2.994
Se 2.783 2.854 2.925
Se 2.930 0.110 0.148
Se 0.216 -0.110 3.142
Se 5.966 2.854 0.069
Se 0.069 -2.854 5.919
Se 5.819 0.110 2.846
Se 3.105 -0.110 5.840
Se 3.252 -2.854 3.063
```

---

(4)
DFT (GGA-PBE) results for a relaxed Tb2CeBe crystal.

Computed properties:
ΔE_f: 112 meV per atom
relative energy among the computed polymorphs: 0 meV/atom
E: -18.5 eV/cell

```
4
Lattice="3.441 0.000 0.000 0.000 3.441 0.000 0.000 0.000 8.590" Properties=species:S:1:pos:R:3 pbc="T T T"
Tb 0.000 0.000 1.659
Tb 0.000 0.000 6.931
Ce 1.720 1.720 4.295
Be 1.720 1.720 0.000
```

---

(5)
DFT (GGA-PBE) results for a relaxed SmTcO5 crystal.

Computed properties:
E: -107.4 eV/cell
raw formation energy: -1.9783 eV per atom

```
14
Lattice="4.327 -4.742 0.000 4.327 4.742 0.000 -3.912 0.000 7.589" Properties=species:S:1:pos:R:3 pbc="T T T"
Sm 0.000 0.000 0.000
Sm -1.956 0.000 3.794
Tc 1.394 1.356 5.692
Tc 3.349 -1.356 1.897
O 3.349 4.337 1.897
O 0.635 2.388 6.882
O 2.152 2.388 4.501
O 0.185 0.365 4.912
O 2.141 -0.365 1.118
O 2.602 0.365 6.471
O 4.558 -0.365 2.677
O 2.591 -2.388 3.088
O 4.108 -2.388 0.707
O 1.394 -4.337 5.692
```

---

(6)
DFT (GGA-PBE) results for a relaxed CsTe2Mo crystal.

Computed properties:
relative energy among the computed polymorphs: 120 meV/atom
E: -46.1 eV/cell
raw formation energy: 0.6527 eV per atom

```
12
Lattice="3.676 0.000 0.000 -1.838 3.183 0.000 0.000 0.000 33.902" Properties=species:S:1:pos:R:3 pbc="T T T"
Cs 0.000 0.000 0.000
Cs 0.000 2.122 22.601
Cs 1.838 1.061 11.301
Te 0.000 0.000 14.345
Te 0.000 0.000 19.556
Te 0.000 2.122 3.045
Te 0.000 2.122 8.256
Te 1.838 1.061 25.646
Te 1.838 1.061 30.857
Mo 0.000 0.000 16.951
Mo 0.000 2.122 5.650
Mo 1.838 1.061 28.251
```

---

(7)
DFT (GGA-PBE) results for a relaxed BaUPa2Se8 crystal.

Computed properties:
E: -75.6 eV/cell
raw formation energy: -1.2900 eV per atom

```
12
Lattice="6.570 0.000 0.000 0.000 8.781 0.000 -0.185 0.000 6.830" Properties=species:S:1:pos:R:3 pbc="T T T"
Ba 0.000 0.000 0.000
U 0.000 4.390 0.000
Pa 3.192 2.222 3.415
Pa 3.192 6.558 3.415
Se 1.696 2.482 1.118
Se 1.696 6.298 1.118
Se 1.667 4.390 4.483
Se 1.678 0.000 4.184
Se 4.707 0.000 2.646
Se 4.718 4.390 2.346
Se 4.689 2.482 5.712
Se 4.689 6.298 5.712
```

---

(8)
DFT (GGA-PBE) results for a relaxed AlOs2Br crystal.

Computed properties:
relative energy among the computed polymorphs: 0 meV/atom
E: -26.8 eV/cell
raw formation energy: 0.2609 eV per atom

```
4
Lattice="2.942 0.000 0.000 0.000 2.958 0.000 0.000 0.000 7.696" Properties=species:S:1:pos:R:3 pbc="T T T"
Al 0.000 0.000 0.000
Os 0.000 0.000 4.447
Os 1.471 1.479 6.070
Br 0.000 1.479 2.279
```

---

(9)
DFT (GGA-PBE) results for a relaxed Tb2CeNdY5 crystal.

Computed properties:
ΔE_f: 285 meV per atom
E: -99.4 eV/cell

```
18
Lattice="8.671 0.000 0.000 0.000 8.671 0.000 0.000 0.000 7.989" Properties=species:S:1:pos:R:3 pbc="T T T"
Tb 1.031 3.304 0.000
Tb 3.304 7.640 0.000
Tb 5.367 1.031 0.000
Tb 7.640 5.367 0.000
Ce 0.000 4.335 3.995
Ce 4.335 0.000 3.995
Nd 0.000 0.000 3.995
Nd 4.335 4.335 3.995
Y 0.000 0.000 0.000
Y 1.759 6.094 2.147
Y 1.759 6.094 5.842
Y 2.577 1.759 2.147
Y 2.577 1.759 5.842
Y 4.335 4.335 0.000
Y 6.094 6.912 2.147
Y 6.094 6.912 5.842
Y 6.912 2.577 2.147
Y 6.912 2.577 5.842
```

---

(10)
DFT (GGA-PBE) results for a relaxed KLiSe2 crystal.

Computed properties:
E: -53.5 eV/cell
raw formation energy: -0.8493 eV per atom

```
16
Lattice="6.182 0.000 0.000 0.000 6.119 0.000 0.000 0.000 14.374" Properties=species:S:1:pos:R:3 pbc="T T T"
K 0.739 1.530 1.338
K 2.352 4.589 8.525
K 3.830 1.530 5.849
K 5.443 4.589 13.036
Li 0.739 4.589 4.959
Li 2.352 1.530 12.146
Li 3.830 4.589 2.227
Li 5.443 1.530 9.414
Se 0.117 4.589 2.529
Se 1.279 1.530 7.963
Se 1.812 4.589 0.776
Se 2.974 1.530 9.716
Se 3.208 4.589 4.658
Se 4.370 1.530 13.598
Se 4.903 4.589 6.411
Se 6.065 1.530 11.845
```

---

(11)
DFT (GGA-PBE) results for a relaxed RuRh crystal.

Computed properties:
ΔE_f: 976 meV per atom
E: -117.4 eV/cell

```
16
Lattice="11.263 0.000 0.000 0.000 11.263 0.000 0.000 0.000 2.631" Properties=species:S:1:pos:R:3 pbc="T T T"
Ru 1.245 8.496 0.000
Ru 2.767 1.245 0.000
Ru 2.864 4.387 1.315
Ru 4.387 8.398 1.315
Ru 6.876 2.864 1.315
Ru 8.398 6.876 1.315
Ru 8.496 10.018 0.000
Ru 10.018 2.767 0.000
Rh 1.175 3.033 0.000
Rh 2.598 6.806 1.315
Rh 3.033 10.088 0.000
Rh 4.457 2.598 1.315
Rh 6.806 8.665 1.315
Rh 8.229 1.175 0.000
Rh 8.665 4.457 1.315
Rh 10.088 8.229 0.000
```

---

(12)
DFT (GGA-PBE) results for a relaxed Er4Zr crystal.

Computed properties:
ΔE_f: 585 meV per atom
relative energy among the computed polymorphs: 69 meV/atom
E: -23.9 eV/cell

```
5
Lattice="5.478 0.000 0.000 0.000 5.478 0.000 0.000 0.000 5.478" Properties=species:S:1:pos:R:3 pbc="T T T"
Er 0.000 0.000 0.000
Er 0.000 2.739 2.739
Er 2.739 0.000 2.739
Er 2.739 2.739 0.000
Zr 2.739 2.739 2.739
```

---

(13)
DFT (GGA-PBE) results for a relaxed Ba3TcIr crystal.

Computed properties:
ΔE_f: 767 meV per atom
relative energy among the computed polymorphs: 0 meV/atom
E: -21.2 eV/cell

```
5
Lattice="6.019 0.000 0.000 0.000 6.019 0.000 0.000 0.000 6.019" Properties=species:S:1:pos:R:3 pbc="T T T"
Ba 0.000 0.000 3.009
Ba 0.000 3.009 0.000
Ba 3.009 0.000 0.000
Tc 3.009 3.009 3.009
Ir 0.000 0.000 0.000
```

---

(14)
DFT (GGA-PBE) results for a relaxed Th2GaOsC crystal.

Computed properties:
ΔE_f: -327 meV per atom
E: -79.9 eV/cell

```
10
Lattice="6.619 0.000 0.000 0.000 4.080 0.000 -2.886 0.000 8.018" Properties=species:S:1:pos:R:3 pbc="T T T"
Th 0.111 1.020 3.768
Th -1.075 1.020 7.127
Th 4.808 3.060 0.891
Th 3.622 3.060 4.250
Ga 1.303 3.060 1.594
Ga 2.430 1.020 6.424
Os 1.018 3.060 6.077
Os 2.715 1.020 1.941
C -0.849 3.060 5.378
C 4.582 1.020 2.639
```

---

(15)
DFT (GGA-PBE) results for a relaxed Sr2LaMn crystal.

Computed properties:
ΔE_f: 491 meV per atom
relative energy among the computed polymorphs: 247 meV/atom
E: -46.5 eV/cell

```
12
Lattice="3.891 0.000 0.000 -1.946 3.370 0.000 0.000 0.000 34.774" Properties=species:S:1:pos:R:3 pbc="T T T"
Sr 0.000 0.000 8.210
Sr 0.000 0.000 26.564
Sr 0.000 2.247 14.973
Sr 0.000 2.247 31.393
Sr 1.946 1.123 3.381
Sr 1.946 1.123 19.802
La 0.000 0.000 0.000
La 0.000 2.247 23.183
La 1.946 1.123 11.591
Mn 0.000 0.000 17.387
Mn 0.000 2.247 5.796
Mn 1.946 1.123 28.979
```

---

(16)
DFT (GGA-PBE) results for a relaxed ReP2OF crystal.

Computed properties:
relative energy among the computed polymorphs: 1259 meV/atom
E: -25.1 eV/cell
raw formation energy: 1.0052 eV per atom

```
5
Lattice="3.873 0.000 0.000 0.000 3.873 0.000 0.000 0.000 4.166" Properties=species:S:1:pos:R:3 pbc="T T T"
Re 0.000 0.000 0.000
P 0.000 1.936 2.083
P 1.936 0.000 2.083
O 1.936 1.936 0.000
F 1.936 1.936 2.083
```

---

(17)
DFT (GGA-PBE) results for a relaxed Cs3As2I8 crystal.

Computed properties:
relative energy among the computed polymorphs: 21 meV/atom
E: -33.3 eV/cell
raw formation energy: -0.6921 eV per atom

```
13
Lattice="4.217 2.435 11.173 -4.217 2.435 11.173 0.000 -4.870 11.173" Properties=species:S:1:pos:R:3 pbc="T T T"
Cs 0.000 0.000 0.000
Cs 0.000 0.000 6.965
Cs 0.000 0.000 26.555
As 0.000 0.000 13.576
As 0.000 0.000 19.944
I -2.253 -1.301 18.866
I 0.000 -2.602 14.654
I -2.253 1.301 14.654
I 0.000 0.000 10.807
I 0.000 0.000 22.712
I 2.253 -1.301 18.866
I 0.000 2.602 18.866
I 2.253 1.301 14.654
```

---

(18)
DFT (GGA-PBE) results for a relaxed Pr2BeNiPd6 crystal.

Computed properties:
ΔE_f: -521 meV per atom
E: -55.4 eV/cell

```
10
Lattice="5.441 -2.801 0.000 5.441 2.801 0.000 -4.495 0.000 6.120" Properties=species:S:1:pos:R:3 pbc="T T T"
Pr 1.572 0.000 1.139
Pr 4.816 0.000 4.981
Be -2.247 0.000 3.060
Ni 5.441 0.000 0.000
Pd -0.141 0.000 3.839
Pd 4.172 1.385 1.679
Pd 2.216 1.385 4.441
Pd 4.172 -1.385 1.679
Pd 2.216 -1.385 4.441
Pd 6.529 0.000 2.280
```

---

(19)
DFT (GGA-PBE) results for a relaxed NdZnAu2 crystal.

Computed properties:
ΔE_f: -492 meV per atom
E: -14.6 eV/cell

```
4
Lattice="3.462 0.000 0.000 0.000 3.462 0.000 0.000 0.000 6.984" Properties=species:S:1:pos:R:3 pbc="T T T"
Nd 0.000 0.000 0.000
Zn 0.000 0.000 3.492
Au 1.731 1.731 2.018
Au 1.731 1.731 4.966
```

---

(20)
DFT (GGA-PBE) results for a relaxed PuMgZn crystal.

Computed properties:
ΔE_f: -28 meV per atom
E: -69.1 eV/cell

```
12
Lattice="16.391 0.000 0.000 0.000 2.998 0.000 -1.107 0.000 5.285" Properties=species:S:1:pos:R:3 pbc="T T T"
Pu 0.743 0.000 1.559
Pu 6.346 1.499 3.726
Pu 8.938 1.499 1.559
Pu 14.541 0.000 3.726
Mg 3.255 0.000 3.946
Mg 3.834 1.499 1.340
Mg 11.450 1.499 3.946
Mg 12.029 0.000 1.340
Zn 0.843 1.499 4.371
Zn 6.246 0.000 0.914
Zn 9.038 0.000 4.371
Zn 14.441 1.499 0.914
```